Record 1
MnCu2Ag | GGA-PBE | relaxed

Summary:
- Energy: -4.840 eV/atom
- N(E_F): 2.32 states/eV/cell
- Space group: P4/mmm
- Formation enthalpy at 0 K: 0.213 eV/atom

Cell lengths 3.9578, 3.9578, 3.6622 Å; angles 90.00, 90.00, 90.00 degrees
Sites, in units of the cell vectors:
Mn  0.0000  0.0000  0.0000
Cu  0.0000  0.5000  0.5000
Cu  0.5000  0.0000  0.5000
Ag  0.5000  0.5000  0.0000

=====

Record 2
RbErTiS4 | GGA-PBE | relaxed

Summary:
- Energy: -5.867 eV/atom
- Raw formation energy: -1.59 eV/atom
- N(E_F): 0.00 states/eV/cell
- Space group: P2_1/m

Cell lengths 6.5923, 6.8148, 9.1542 Å; angles 90.00, 108.45, 90.00 degrees
Sites, in units of the cell vectors:
Rb  0.2357  0.2500  0.4414
Rb  0.7643  0.7500  0.5586
Er  0.2926  0.2500  0.9553
Er  0.7074  0.7500  0.0447
Ti  0.2584  0.7500  0.1614
Ti  0.7416  0.2500  0.8386
S  0.0401  0.7500  0.9221
S  0.0514  0.7500  0.3144
S  0.4994  0.5014  0.8058
S  0.4994  0.9986  0.8058
S  0.5006  0.0014  0.1942
S  0.5006  0.4986  0.1942
S  0.9486  0.2500  0.6856
S  0.9599  0.2500  0.0779

=====

Record 3
BaRe2Au | GGA-PBE | relaxed

Summary:
- Energy: -6.698 eV/atom
- N(E_F): 2.40 states/eV/cell
- Space group: C2
- Formation enthalpy at 0 K: 0.826 eV/atom

Cell lengths 5.5261, 5.5261, 3.6299 Å; angles 90.11, 90.11, 115.78 degrees
Sites, in units of the cell vectors:
Ba  0.0000  0.0000  0.0000
Re  0.3210  0.6790  0.5000
Re  0.4807  0.5193  0.0000
Au  0.7085  0.2915  0.5000

=====

Record 4
LiRuRhSe2 | GGA-PBE | relaxed

Summary:
- Energy: -4.358 eV/atom
- Raw formation energy: 0.74 eV/atom
- N(E_F): 4.98 states/eV/cell
- Space group: P4/mmm

Cell lengths 4.4576, 4.4576, 4.0095 Å; angles 90.00, 90.00, 90.00 degrees
Sites, in units of the cell vectors:
Li  0.0000  0.0000  0.0000
Ru  0.5000  0.5000  0.5000
Rh  0.0000  0.0000  0.5000
Se  0.0000  0.5000  0.0000
Se  0.5000  0.0000  0.0000

=====

Record 5
Cr2CdPt | GGA-PBE | relaxed

Summary:
- Energy: -6.167 eV/atom
- N(E_F): 5.55 states/eV/cell
- Space group: R-3m
- Formation enthalpy at 0 K: 0.383 eV/atom

Cell lengths 9.2898, 9.2898, 9.2898 Å; angles 16.98, 16.98, 16.98 degrees
Sites, in units of the cell vectors:
Cr  0.2449  0.2449  0.2449
Cr  0.7551  0.7551  0.7551
Cd  0.0000  0.0000  0.0000
Pt  0.5000  0.5000  0.5000

=====

Which of these has the highest N(E_F)? Cr2CdPt

=====

Which of these has the highest N(E_F)? Cr2CdPt